This record from the Alexandria database describes a geometry-optimized KNi2Cl6 structure. The functional is PBE.

extended XYZ file:
```
9
Lattice="6.140 0.000 0.000 -3.070 5.317 0.000 0.000 0.000 7.046" Properties=species:S:1:pos:R:3 pbc="T T T"
Cl 3.847 0.000 2.196
Ni 3.070 1.772 3.523
K 0.000 0.000 0.000
Cl 1.924 3.332 4.850
Cl -1.924 3.332 2.196
Cl 2.292 0.000 4.850
Ni 0.000 3.545 3.523
Cl 1.146 1.985 2.196
Cl -1.146 1.985 4.850
```

## Properties
E_tot: -31.3 eV for the cell shown
ρ: 2.7 g/cm³
space-group type: P-31m
DOS(E_F): 5.39 states/eV per cell